No. 1
Density functional theory data (PBE-GGA) for crystalline AlAg4F7 at its relaxed geometry.

abc: 17.3226 3.7766 5.6394
angles: 90.00 102.70 90.00
With the nearest neighbours (Å) after each atom.
Space group C2/m (No. 12)
Asymmetric unit:
Al1 0.0000 0.0000 0.0000 (multiplicity 2)  6 F 1.80-1.89
Ag1 0.0900 0.5000 0.5377 (multiplicity 4)  5 F 2.35-2.58
Ag2 0.1978 0.5000 0.1889 (multiplicity 4)  3 F 2.32-2.57
F1 0.0000 0.5000 0.0000 (multiplicity 2)  2 Al 1.89
F2 0.0543 0.0000 0.7620 (multiplicity 4)  1 Al 1.80
F3 0.0931 0.0000 0.2281 (multiplicity 4)  1 Al 1.83
F4 0.2221 0.5000 0.7553 (multiplicity 4)  4 Ag 2.32-2.57

Values from the calculation:
The calculation puts the total magnetic moment at 0.0 μB/f.u. As for the calculated volume: 359.9 Å³ per cell. Its uncorrected formation energy is -1819 meV/atom. The raw total energy is -50.069 eV per formula unit.

***

No. 2
Density functional theory data (PBE-GGA) for crystalline AlAg3F8 at its relaxed geometry.

abc: 5.3629 5.3629 10.5913
angles: 90.00 90.00 90.00
With the nearest neighbours (Å) after each atom.
Space group I4/mmm (No. 139)
Asymmetric unit:
Al1 0.0000 0.0000 0.0000 (multiplicity 2)  8 F 2.06
Ag1 0.0000 0.0000 0.5000 (multiplicity 2)  8 F 2.42
Ag2 0.0000 0.5000 0.2500 (multiplicity 4)  8 F 2.40
F1 0.2215 0.2215 0.1123 (multiplicity 16)  1 Al 2.06

Values from the calculation:
The energy above the most stable polymorph in this dataset comes out at 228 meV/atom. The calculation puts the total magnetic moment at 2.1 μB/f.u. As for the calculated volume: 304.6 Å³ per cell. Its uncorrected formation energy is -1659 meV/atom. The raw total energy is -47.173 eV per formula unit.

***

No. 3
Density functional theory data (PBE-GGA) for crystalline AlAg6F12 at its relaxed geometry.

abc: 9.8105 9.8105 10.1670
angles: 90.00 90.00 120.00
With the nearest neighbours (Å) after each atom.
Space group R-3 (No. 148, hexagonal axes)
Asymmetric unit:
Al1 0.0000 0.0000 0.0000 (multiplicity 3)  6 F 1.84
Ag1 0.0471 0.7897 0.6645 (multiplicity 18)  4 F 2.20-2.44
F1 0.0317 0.8110 0.3920 (multiplicity 18)  3 Ag 2.20-2.34
F2 0.0677 0.8890 0.8995 (multiplicity 18)  1 Al 1.84

Values from the calculation:
The calculation puts the total magnetic moment at 3.1 μB/f.u. As for the calculated volume: 847.4 Å³ per cell. Its uncorrected formation energy is -1617 meV/atom. The raw total energy is -74.021 eV per formula unit.

***

No. 4
Density functional theory data (PBE-GGA) for crystalline AlAg7F12 at its relaxed geometry.

abc: 12.8477 12.8477 6.4253
angles: 90.00 90.00 120.00
With the nearest neighbours (Å) after each atom.
Space group R-3 (No. 148, hexagonal axes)
Asymmetric unit:
Al1 0.0000 0.0000 0.0000 (multiplicity 3)  6 F 1.84
Ag1 0.0000 0.0000 0.5000 (multiplicity 3)  6 F 2.60
Ag2 0.0253 0.5828 0.6829 (multiplicity 18)  3 F 2.17-2.38
F1 0.0184 0.5926 0.1991 (multiplicity 18)  3 Ag 2.17-2.38
F2 0.0409 0.1311 0.8322 (multiplicity 18)  1 Al 1.84

Values from the calculation:
The calculation puts the total magnetic moment at 0.9 μB/f.u. As for the calculated volume: 918.5 Å³ per cell. Its uncorrected formation energy is -1502 meV/atom. The raw total energy is -76.198 eV per formula unit.

***

No. 5
Density functional theory data (PBE-GGA) for crystalline AlAg3F8 at its relaxed geometry.

abc: 5.6938 10.7377 6.5239
angles: 90.00 90.00 90.00
With the nearest neighbours (Å) after each atom.
Space group C222 (No. 21)
Asymmetric unit:
Al1 0.0000 0.0000 0.0000 (multiplicity 2)  6 F 1.81-1.91
Ag1 0.0000 0.0000 0.5000 (multiplicity 2)  6 F 2.13-2.34
Ag2 0.2500 0.2500 0.2440 (multiplicity 4)  4 F 2.26-2.27
F1 0.0000 0.1776 0.0000 (multiplicity 4)  1 Al 1.91
F2 0.0000 0.1985 0.5000 (multiplicity 4)  3 Ag 2.13-2.26
F3 0.2218 0.0100 0.1988 (multiplicity 8)  1 Al 1.81

Values from the calculation:
The energy above the most stable polymorph in this dataset comes out at 0 meV/atom. The calculation puts the total magnetic moment at 1.1 μB/f.u. As for the calculated volume: 398.9 Å³ per cell. Its uncorrected formation energy is -1887 meV/atom. The raw total energy is -49.912 eV per formula unit.

***

No. 6
Density functional theory data (PBE-GGA) for crystalline Al3AgF at its relaxed geometry.

abc: 4.4837 4.4837 4.4837
angles: 90.00 90.00 90.00
With the nearest neighbours (Å) after each atom.
Space group Pm-3m (No. 221)
Asymmetric unit:
Al1 0.0000 0.0000 0.5000 (multiplicity 3)  2 F 2.24
Ag1 0.5000 0.5000 0.5000 (multiplicity 1)  12 Al 3.17
F1 0.0000 0.0000 0.0000 (multiplicity 1)  6 Al 2.24

Values from the calculation:
The energy above the most stable polymorph in this dataset comes out at 0 meV/atom. The calculation puts the total magnetic moment at 0.0 μB/f.u. As for the calculated volume: 90.1 Å³ per cell. Its uncorrected formation energy is -133 meV/atom. The raw total energy is -16.616 eV per formula unit.

***

No. 7
Density functional theory data (PBE-GGA) for crystalline Al2Ag5F12 at its relaxed geometry.

abc: 13.0556 5.8598 7.7415
angles: 90.00 108.32 90.00
With the nearest neighbours (Å) after each atom.
Space group C2/m (No. 12)
Asymmetric unit:
Al1 0.0000 0.2484 0.0000 (multiplicity 4)  6 F 1.77-1.91
Ag1 0.0000 0.0000 0.5000 (multiplicity 2)  4 F 2.19
Ag2 0.1998 0.5000 0.8189 (multiplicity 4)  6 F 2.41-2.65
Ag3 0.2074 0.5000 0.3912 (multiplicity 4)  5 F 2.42-2.68
F1 0.0062 0.0000 0.1574 (multiplicity 4)  2 Al 1.88
F2 0.0060 0.5000 0.1600 (multiplicity 4)  2 Al 1.91
F3 0.1351 0.2400 0.5664 (multiplicity 8)  4 Ag 2.19-2.43
F4 0.1423 0.2565 0.0617 (multiplicity 8)  1 Al 1.77

Values from the calculation:
The calculation puts the total magnetic moment at 0.8 μB/f.u. As for the calculated volume: 562.2 Å³ per cell. Its uncorrected formation energy is -2063 meV/atom. The raw total energy is -83.395 eV per formula unit.

***

No. 8
Density functional theory data (PBE-GGA) for crystalline AlAgF2 at its relaxed geometry.

abc: 3.0251 3.0251 28.2884
angles: 90.00 90.00 120.00
With the nearest neighbours (Å) after each atom.
Space group R-3m (No. 166, hexagonal axes)
Asymmetric unit:
Al1 0.0000 0.0000 0.0000 (multiplicity 3)  6 F 2.08
Ag1 0.0000 0.0000 0.5000 (multiplicity 3)  6 Ag 3.03
F1 0.0000 0.0000 0.3731 (multiplicity 6)  3 Al 2.08

Values from the calculation:
The energy above the most stable polymorph in this dataset comes out at 81 meV/atom. The calculation puts the total magnetic moment at 0.0 μB/f.u. As for the calculated volume: 224.2 Å³ per cell. Its uncorrected formation energy is -1503 meV/atom. The raw total energy is -16.349 eV per formula unit.